An optimized crystal structure of LaGdSe2F2, computed with PBE-GGA.

abc: 3.991 3.991 7.145
angles: 90.00 90.00 90.00
Positions (direct):
La 0.000 0.000 0.000
Gd 0.500 0.500 0.437
Se 0.000 0.000 0.567
Se 0.500 0.500 0.852
F 0.000 0.500 0.224
F 0.500 0.000 0.224

Magnetization (μB/atom): 0.00
E (eV per cell): -37.8
Symmetry: P4mm


An optimized crystal structure of PmOs, computed with PBE-GGA.

abc: 4.492 4.492 4.492
angles: 60.00 60.00 60.00
Positions (direct):
Pm 0.000 0.000 0.000
Os 0.250 0.250 0.250

Magnetization (μB/atom): 0.50
Symmetry: F-43m
ΔE_f (eV/atom): 1.584


An optimized crystal structure of CoNiGeTe3, computed with PBE-GGA.

abc: 7.215 7.215 10.161
angles: 90.00 90.00 149.91
Positions (direct):
Co 0.000 0.000 0.000
Co 0.000 0.000 0.500
Ni 0.335 0.665 0.750
Ni 0.665 0.335 0.250
Ge 0.271 0.729 0.250
Ge 0.729 0.271 0.750
Te 0.036 0.964 0.250
Te 0.374 0.626 0.006
Te 0.374 0.626 0.494
Te 0.626 0.374 0.506
Te 0.626 0.374 0.994
Te 0.964 0.036 0.750

Magnetization (μB/atom): 0.01
Excess energy over the best structure of this formula in the dataset (meV/atom): 0
Symmetry: Cmcm